(1)
Here is an optimized crystal structure of PC from Alexandria via LeMat-Bulk. Energies are from PBE.

a b c (Å): 2.5327 3.7670 5.2299
angles (deg): 69.90 84.84 71.02
Closest atoms and distances in Å follow each position.
Positions (direct):
P 0.0128 0.3666 0.2748  2 C 1.91-1.92
C 0.1928 0.1178 0.9995  2 C 1.52
P 0.9872 0.6334 0.7252  2 C 1.91-1.92
C 0.8072 0.8822 0.0005  2 C 1.52

ΔE to the lowest computed polymorph: 0.111 eV per atom
crystal system: triclinic
energy of formation from the pure elements: 423 meV/atom

---

(2)
Here is an optimized crystal structure of Pm12Ir5Pd2 from Alexandria via LeMat-Bulk. Energies are from PBE.

a b c (Å): 7.3365 9.0337 9.2181
angles (deg): 103.82 90.00 113.96
Closest atoms and distances in Å follow each position.
Positions (direct):
Pm 0.5004 0.0008 0.2706  2 Ir 2.90-3.10, 2 Pd 2.90
Ir 0.3048 0.6096 0.6442  7 Pm 2.86-3.10
Pm 0.9144 0.3532 0.1029  1 Pd 2.83, 3 Ir 2.86-3.04
Ir 0.3191 0.6383 0.1653  7 Pm 2.90-3.04
Pm 0.6011 0.6901 0.4329  4 Ir 2.91-3.05
Pm 0.0856 0.6468 0.8971  1 Pd 2.83, 3 Ir 2.86-3.04
Pm 0.4389 0.3532 0.1029  1 Pd 2.83, 3 Ir 2.86-3.04
Pd 0.2968 0.0000 0.0000  6 Pm 2.83-2.93, 1 Pd 2.98
Pm 0.4996 0.9992 0.7294  2 Ir 2.90-3.10, 2 Pd 2.90
Pm 0.3989 0.3099 0.5671  4 Ir 2.91-3.05
Pm 0.5611 0.6468 0.8971  1 Pd 2.83, 3 Ir 2.86-3.04
Ir 0.6952 0.3904 0.3558  7 Pm 2.86-3.10
Pm 0.9783 0.9566 0.1987  1 Ir 2.71, 2 Pd 2.93
Pd 0.7032 0.0000 0.0000  6 Pm 2.83-2.93, 1 Pd 2.98
Pm 0.0217 0.0434 0.8013  1 Ir 2.71, 2 Pd 2.93
Pm 0.0890 0.6901 0.4329  4 Ir 2.91-3.05
Pm 0.9110 0.3099 0.5671  4 Ir 2.91-3.05
Ir 0.6809 0.3617 0.8347  7 Pm 2.90-3.04
Ir 0.0000 0.0000 0.5000  2 Pm 2.71

crystal system: monoclinic
energy of formation from the pure elements: -541 meV/atom

---

(3)
Here is an optimized crystal structure of Ca2AuO from Alexandria via LeMat-Bulk. Energies are from PBE.

a b c (Å): 3.5599 3.5599 7.6013
angles (deg): 76.46 76.46 60.00
Closest atoms and distances in Å follow each position.
Positions (direct):
Au 0.5000 0.5000 0.5000  6 Ca 3.06
Ca 0.7298 0.7298 0.8106  3 O 2.48
Ca 0.2702 0.2702 0.1894  3 O 2.48
O 0.0000 0.0000 0.0000  6 Ca 2.48

crystal system: trigonal
formation energy (no corrections): -1626 meV per atom

---

(4)
Here is an optimized crystal structure of Ga3HgF from Alexandria via LeMat-Bulk. Energies are from PBE.

a b c (Å): 5.2811 5.2811 5.2811
angles (deg): 90.00 90.00 90.00
Closest atoms and distances in Å follow each position.
Positions (direct):
Ga 0.0000 0.5000 0.0000  2 Hg 2.64
Ga 0.5000 0.0000 0.0000  2 Hg 2.64
Hg 0.0000 0.0000 0.0000  6 Ga 2.64
Ga 0.0000 0.0000 0.5000  2 Hg 2.64
F 0.5000 0.5000 0.5000  12 Ga 3.73

ΔE to the lowest computed polymorph: 0.426 eV per atom
crystal system: cubic
formation energy (no corrections): 55 meV per atom

---

(5)
Here is an optimized crystal structure of K4Ce6I19 from Alexandria via LeMat-Bulk. Energies are from PBE.

a b c (Å): 12.5018 12.5018 12.5018
angles (deg): 109.47 109.47 109.47
Closest atoms and distances in Å follow each position.
Positions (direct):
I 0.2877 0.6811 0.0414  2 Ce 3.21-3.25
I 0.6637 0.6637 0.0000  2 Ce 3.18
Ce 0.5000 0.1474 0.6474  6 I 3.18-3.25
I 0.6397 0.2464 0.9586  2 Ce 3.21-3.25
Ce 0.8526 0.3526 0.5000  6 I 3.18-3.25
K 0.7210 0.0000 0.0000  4 I 3.49-3.69
K 0.0000 0.7210 0.0000  4 I 3.49-3.69
I 0.7123 0.7536 0.3934  2 Ce 3.21-3.25
I 0.3603 0.3189 0.6066  2 Ce 3.21-3.25
I 0.2464 0.9586 0.6397  2 Ce 3.21-3.25
I 0.6811 0.0414 0.2877  2 Ce 3.21-3.25
K 0.2790 0.2790 0.2790  4 I 3.49-3.69
I 0.3363 0.3363 0.0000  2 Ce 3.18
I 0.0000 0.3363 0.3363  2 Ce 3.18
I 0.0000 0.0000 0.0000  4 K 3.49
I 0.6066 0.3603 0.3189  2 Ce 3.21-3.25
I 0.6637 0.0000 0.6637  2 Ce 3.18
Ce 0.3526 0.5000 0.8526  6 I 3.18-3.25
K 0.0000 0.0000 0.7210  4 I 3.49-3.69
I 0.7536 0.3934 0.7123  2 Ce 3.21-3.25
Ce 0.6474 0.5000 0.1474  6 I 3.18-3.25
I 0.3363 0.0000 0.3363  2 Ce 3.18
I 0.3189 0.6066 0.3603  2 Ce 3.21-3.25
I 0.0414 0.2877 0.6811  2 Ce 3.21-3.25
I 0.3934 0.7123 0.7536  2 Ce 3.21-3.25
I 0.9586 0.6397 0.2464  2 Ce 3.21-3.25
I 0.0000 0.6637 0.6637  2 Ce 3.18
Ce 0.1474 0.6474 0.5000  6 I 3.18-3.25
Ce 0.5000 0.8526 0.3526  6 I 3.18-3.25

crystal system: cubic
formation energy (no corrections): -1319 meV per atom

---

(6)
Here is an optimized crystal structure of MnNb2ZnH from Alexandria via LeMat-Bulk. Energies are from PBE.

a b c (Å): 4.1485 4.1485 3.7580
angles (deg): 90.00 90.00 90.00
Closest atoms and distances in Å follow each position.
Positions (direct):
Mn 0.0000 0.0000 0.5000  2 H 1.88
Nb 0.5000 0.0000 0.0000  2 H 2.07
Zn 0.5000 0.5000 0.5000  8 Nb 2.80, 4 Mn 2.93
H 0.0000 0.0000 0.0000  2 Mn 1.88, 4 Nb 2.07
Nb 0.0000 0.5000 0.0000  2 H 2.07

crystal system: tetragonal

---

(7)
Here is an optimized crystal structure of Tl2CuAg from Alexandria via LeMat-Bulk. Energies are from PBE.

a b c (Å): 3.4322 3.2507 8.4261
angles (deg): 68.21 90.00 90.00
Closest atoms and distances in Å follow each position.
Positions (direct):
Ag 0.5000 0.2500 0.2500  8 Tl 3.16-3.19, 4 Ag 3.25-3.43
Tl 0.0000 0.4796 0.5207  4 Cu 2.95-2.98, 4 Ag 3.16-3.19, 2 Tl 3.25
Tl 0.0000 0.0204 0.9793  4 Cu 2.95-2.98, 4 Ag 3.16-3.19, 2 Tl 3.25
Cu 0.5000 0.7500 0.7500  8 Tl 2.95-2.98, 2 Cu 3.25

ΔE to the lowest computed polymorph: 0.084 eV per atom
crystal system: monoclinic
energy of formation from the pure elements: 254 meV/atom

---

(8)
Here is an optimized crystal structure of TaTiN from Alexandria via LeMat-Bulk. Energies are from PBE.

a b c (Å): 3.0706 4.0120 4.0120
angles (deg): 72.86 67.50 67.50
Closest atoms and distances in Å follow each position.
Positions (direct):
Ta 0.7459 0.7541 0.7541  2 N 2.09
N 0.9959 0.0041 0.0041  2 Ti 2.04, 2 Ta 2.09
Ti 0.2582 0.2418 0.2418  2 N 2.04

ΔE to the lowest computed polymorph: 0.838 eV per atom
crystal system: orthorhombic
formation energy (no corrections): -284 meV per atom

---

Summary of calculated volume in Å³/atom
11.07, 28.36, 20.08, 29.46, 51.87, 12.93, 21.82, 13.85
(order as listed above)
Summary of calculated density in Mg/m³
3.22, 8.98, 6.06, 4.83, 3.76, 7.89, 11.04, 9.71
(order as listed above)
Summary of electronic total energy in hartree per atom
-0.25334, -0.23591, -0.17219, -0.08070, -0.13647, -0.25114, -0.09796, -0.35432
(order as listed above)